# Re2SbRu PBE-GGA relaxed
data_Re2SbRu
_cell_length_a 3.089
_cell_length_b 4.565
_cell_length_c 9.057
_cell_angle_alpha 90.00
_cell_angle_beta 90.00
_cell_angle_gamma 90.00
_symmetry_space_group_name_H-M 'I m m 2'
_symmetry_Int_Tables_number 44
loop_
_symmetry_equiv_pos_as_xyz
'x,y,z'
'-x,-y,z'
'-x,y,z'
'x,-y,z'
'x+1/2,y+1/2,z+1/2'
'-x+1/2,-y+1/2,z+1/2'
'-x+1/2,y+1/2,z+1/2'
'x+1/2,-y+1/2,z+1/2'
loop_
_atom_site_label
_atom_site_type_symbol
_atom_site_fract_x
_atom_site_fract_y
_atom_site_fract_z
Re1 Re 0.000 0.000 0.000
Re2 Re 0.000 0.500 0.249
Sb1 Sb 0.000 0.500 0.741
Ru1 Ru 0.000 0.000 0.471
# * N(E_F): 0.944 states/eV per atom
# * formation energy without anion corrections: 1.92 eV/f.u.